A plane-wave DFT calculation with PBE with a Hubbard U was carried out for crystalline Sc2MnTlO6 at its relaxed geometry.

Cell lengths 5.386, 5.395, 5.726 Å; angles 62.44, 63.90, 61.47 degrees
Positions (direct):
Sc 0.000 0.000 0.000
Sc 0.489 0.484 0.539
Mn 0.692 0.694 0.917
Tl 0.214 0.214 0.358
O 0.110 0.383 0.711
O 0.276 0.866 0.231
O 0.414 0.762 0.737
O 0.634 0.308 0.189
O 0.766 0.075 0.732
O 0.862 0.630 0.199

Electronic total energy (eV per cell): -74.93
Crystal system: triclinic
Space group: No. 1
Volume (Å³/atom): 12.44